Entry 1:
DFT (PBE) results for crystalline La3Dy4Se8 at its relaxed geometry.

Values from the calculation:
space group = No. 12
energy = -89.45 eV/cell
energy relative to the elements, uncorrected = -1.892 eV/atom

a b c (Å): 8.307 8.361 8.361
angles (deg): 90.05 119.73 119.73
Sites, in units of the cell vectors:
La 0.500 0.000 0.500
La 0.500 0.500 0.000
La 0.500 0.500 0.500
Se 0.500 0.244 0.756
Se 0.000 0.247 0.753
Se 0.491 0.239 0.239
Se 0.988 0.242 0.242
Se 0.012 0.758 0.758
Se 0.000 0.753 0.247
Se 0.500 0.756 0.244
Se 0.509 0.761 0.761
Dy 0.000 0.000 0.000
Dy 0.000 0.500 0.000
Dy 0.000 0.000 0.500
Dy 0.500 0.000 0.000

Entry 2:
DFT (PBE) results for crystalline CaHfGeI2 at its relaxed geometry.

Values from the calculation:
space group = No. 123
energy = -15.88 eV/cell
energy relative to the elements, uncorrected = 0.758 eV/atom

a b c (Å): 5.630 6.825 5.630
angles (deg): 90.00 90.00 90.00
Sites, in units of the cell vectors:
Ge 0.500 0.500 0.500
Hf 0.000 0.500 0.000
I 0.500 0.000 0.000
I 0.000 0.000 0.500
Ca 0.000 0.000 0.000

Entry 3:
DFT (PBE) results for crystalline Cd2PI at its relaxed geometry.

Values from the calculation:
space group = No. 31
energy = -19.41 eV/cell
energy relative to the elements, uncorrected = -0.229 eV/atom

a b c (Å): 4.476 6.372 9.467
angles (deg): 90.00 90.00 90.00
Sites, in units of the cell vectors:
Cd 0.201 0.042 0.439
Cd 0.701 0.680 0.165
Cd 0.201 0.180 0.051
Cd 0.701 0.542 0.777
I 0.201 0.855 0.726
I 0.701 0.355 0.490
P 0.701 0.357 0.004
P 0.201 0.857 0.212

Entry 4:
DFT (PBE) results for crystalline Ce2HgPb at its relaxed geometry.

Values from the calculation:
space group = No. 123
DFT formation energy = -0.357 eV/atom
energy = -17.30 eV/cell

a b c (Å): 4.469 5.048 5.048
angles (deg): 90.00 90.00 90.00
Site moments in Bohr magnetons follow the coordinates.
Sites, in units of the cell vectors:
Pb 0.500 0.000 0.000  -0.03
Hg 0.500 0.500 0.500  0.01
Ce 0.000 0.500 0.000  0.98
Ce 0.000 0.000 0.500  0.98

Entry 5:
DFT (PBE) results for crystalline TmAsP at its relaxed geometry.

Values from the calculation:
space group = No. 62
DFT formation energy = -0.811 eV/atom
energy = -67.85 eV/cell

a b c (Å): 3.760 3.665 17.407
angles (deg): 90.00 90.00 90.00
Sites, in units of the cell vectors:
Tm 0.715 0.250 0.629
Tm 0.215 0.750 0.871
Tm 0.285 0.750 0.371
Tm 0.785 0.250 0.129
As 0.714 0.250 0.802
As 0.214 0.750 0.698
As 0.786 0.250 0.302
As 0.286 0.750 0.198
P 0.699 0.750 0.998
P 0.199 0.250 0.502
P 0.801 0.750 0.498
P 0.301 0.250 0.002

Entry 6:
DFT (PBE) results for crystalline Cu2Ni2Ge at its relaxed geometry.

Values from the calculation:
space group = No. 127
DFT formation energy = 0.145 eV/atom
energy = -47.30 eV/cell

a b c (Å): 6.715 6.715 2.800
angles (deg): 90.00 90.00 90.00
Sites, in units of the cell vectors:
Cu 0.868 0.632 0.000
Cu 0.132 0.368 0.000
Cu 0.632 0.132 0.000
Cu 0.368 0.868 0.000
Ni 0.836 0.336 0.500
Ni 0.664 0.836 0.500
Ni 0.336 0.164 0.500
Ni 0.164 0.664 0.500
Ge 0.000 0.000 0.000
Ge 0.500 0.500 0.000

Entry 7:
DFT (PBE) results for crystalline Nd6In5Bi at its relaxed geometry.

Values from the calculation:
space group = No. 65
DFT formation energy = -0.521 eV/atom
energy = -52.43 eV/cell

a b c (Å): 10.239 5.135 8.145
angles (deg): 71.62 80.91 59.92
Sites, in units of the cell vectors:
Nd 0.254 0.913 0.667
Nd 0.251 0.249 0.000
Nd 0.749 0.751 0.000
Nd 0.254 0.580 0.333
Nd 0.746 0.420 0.667
Nd 0.746 0.087 0.333
In 0.500 0.166 0.668
In 0.500 0.834 0.332
In 0.000 0.325 0.350
In 0.000 0.675 0.650
In 0.500 0.500 0.000
Bi 0.000 0.000 0.000

Entry 8:
DFT (PBE) results for crystalline SnS2I at its relaxed geometry.

Values from the calculation:
space group = No. 166
energy = -14.21 eV/cell
energy relative to the elements, uncorrected = -0.100 eV/atom

a b c (Å): 8.417 8.417 8.417
angles (deg): 28.57 28.57 28.57
Sites, in units of the cell vectors:
S 0.892 0.892 0.892
S 0.108 0.108 0.108
I 0.000 0.000 0.000
Sn 0.500 0.500 0.500

Question: Number 5 is which compound?
Answer: TmAsP

Question: energy of number 3 (Cd2PI)?
Answer: -19.41 eV/cell